The following is a DFT calculation (PBE) of an optimized crystal structure of Ac2LaSm3Se6.

Summary:
Volume = 27.98 A^3/atom
SG = C2/m
Raw total energy = -70.531 eV/f.u.

Cell lengths 7.416, 7.416, 7.484 Å; angles 99.51, 99.51, 120.17 degrees
Positions (direct):
Se: 0.911 0.583 0.734
Se: 0.417 0.089 0.266
Se: 0.583 0.911 0.734
Se: 0.239 0.239 0.732
Se: 0.761 0.761 0.268
Se: 0.089 0.417 0.266
Ac: 0.666 0.334 0.000
Ac: 0.334 0.666 0.000
Sm: 0.169 0.831 0.500
Sm: 0.500 0.500 0.500
Sm: 0.831 0.169 0.500
La: 0.000 0.000 0.000

The following is a DFT calculation (PBE) of an optimized crystal structure of AcLaSnSe.

Summary:
Volume = 34.27 A^3/atom
SG = P4/mmm
Raw total energy = -21.736 eV/f.u.

Cell lengths 4.616, 4.617, 6.433 Å; angles 90.00, 90.00, 90.00 degrees
Positions (direct):
Se: 0.000 0.891 0.092
Sn: 0.500 0.392 0.593
La: 0.500 0.391 0.093
Ac: 0.000 0.892 0.592

Number 1: formation energy without anion corrections -1.860 eV per atom. Number 2: formation energy without anion corrections -1.303 eV per atom.